First-principles (PBE-GGA) data for a relaxed structure of MnBeBiP, as listed in Alexandria via LeMat-Bulk.

Output
**Total moment**: 1.2 μB per formula unit
**Total energy**: -5.47 eV/atom
**Crystal system**: trigonal
**DFT formation energy**: 81 meV per atom

The structure in POSCAR format:
```
MnBeBiP
1.0
1.729 0.998 6.623
-1.729 0.998 6.623
0.000 -1.996 6.623
Mn Be Bi P
1 1 1 1
direct
0.000 0.000 0.000 Mn
0.889 0.889 0.889 Be
0.761 0.761 0.761 Bi
0.605 0.605 0.605 P
```

---

First-principles (PBE-GGA) data for a relaxed structure of MnBeBiP, as listed in Alexandria via LeMat-Bulk.

Output
**Total moment**: 2.1 μB per formula unit
**Total energy**: -5.48 eV/atom
**Crystal system**: monoclinic
**DFT formation energy**: 64 meV per atom

The structure in POSCAR format:
```
MnBeBiP
1.0
3.840 -1.706 0.000
3.840 1.706 0.000
-2.884 0.000 5.281
Mn Be Bi P
1 1 1 1
direct
0.000 0.000 0.000 Mn
0.330 0.330 0.099 Be
0.718 0.718 0.441 Bi
0.661 0.661 0.894 P
```

---

Please write out number 2 again, unchanged.
First-principles (PBE-GGA) data for a relaxed structure of MnBeBiP, as listed in Alexandria via LeMat-Bulk.

Output
**Total moment**: 2.1 μB per formula unit
**Total energy**: -5.48 eV/atom
**Crystal system**: monoclinic
**DFT formation energy**: 64 meV per atom

The structure in POSCAR format:
```
MnBeBiP
1.0
3.840 -1.706 0.000
3.840 1.706 0.000
-2.884 0.000 5.281
Mn Be Bi P
1 1 1 1
direct
0.000 0.000 0.000 Mn
0.330 0.330 0.099 Be
0.718 0.718 0.441 Bi
0.661 0.661 0.894 P
```

---

> Which value of total moment does entry 2 give?

2.1 μB per formula unit

---

> Which value of total energy does entry 2 give?

-5.48 eV/atom